(1)
SmMgTlSn after structural relaxation. Source: the Alexandria database, functional GGA-PBE.

Properties
Offset from the most stable computed form (kJ/mol of formula units): 60
Electronic total energy (eV/atom): -3.444
Mass density (g/cm3): 7.7
Spin magnetization (μB per formula unit): 0.00
DFT formation energy (eV/atom): -0.273

a = 5.3266 Å, b = 5.3266 Å, c = 5.3266 Å
α = 60.00°, β = 60.00°, γ = 60.00°
Last column: nearest neighbours and their distance in Å.
Atoms (fractional coordinates):
Sn 0.2500 0.2500 0.2500  4 Mg 3.26, 4 Sm 3.26
Sm 0.5000 0.5000 0.5000  4 Sn 3.26, 4 Tl 3.26
Tl 0.7500 0.7500 0.7500  4 Sm 3.26, 4 Mg 3.26
Mg 0.0000 0.0000 0.0000  4 Tl 3.26, 4 Sn 3.26


(2)
SmTmMgSn after structural relaxation. Source: the Alexandria database, functional GGA-PBE.

Properties
Electronic total energy (eV/atom): -4.084
Mass density (g/cm3): 7.2
Spin magnetization (μB per formula unit): 0.00
DFT formation energy (eV/atom): -0.387

a = 5.3145 Å, b = 5.3145 Å, c = 5.3145 Å
α = 60.00°, β = 60.00°, γ = 60.00°
Last column: nearest neighbours and their distance in Å.
Atoms (fractional coordinates):
Sm 0.5000 0.5000 0.5000  4 Sn 3.25, 4 Mg 3.25
Mg 0.7500 0.7500 0.7500  4 Sm 3.25, 4 Tm 3.25
Sn 0.2500 0.2500 0.2500  4 Tm 3.25, 4 Sm 3.25
Tm 0.0000 0.0000 0.0000  4 Sn 3.25, 4 Mg 3.25


(3)
SmMg2ZnSn2 after structural relaxation. Source: the Alexandria database, functional GGA-PBE.

Properties
Electronic total energy (eV/atom): -3.193
Mass density (g/cm3): 5.7
Spin magnetization (μB per formula unit): 0.00
DFT formation energy (eV/atom): -0.329

a = 4.6137 Å, b = 7.3117 Å, c = 8.6594 Å
α = 90.00°, β = 90.00°, γ = 90.00°
Last column: nearest neighbours and their distance in Å.
Atoms (fractional coordinates):
Sn 0.0000 0.7417 0.1651  2 Zn 2.76, 2 Mg 2.85-2.94
Mg 0.5000 0.5107 0.9124  3 Sn 2.98-3.10, 1 Zn 3.23
Zn 0.5000 0.1779 0.6674  4 Sn 2.76-2.94
Zn 0.5000 0.6779 0.3326  4 Sn 2.76-2.94
Sm 0.0000 0.4992 0.5350  4 Zn 3.18-3.49, 5 Sn 3.21-3.25, 1 Mg 3.51
Sn 0.5000 0.2764 0.3491  2 Zn 2.85-2.94, 3 Mg 2.90-2.98
Sn 0.5000 0.7764 0.6509  2 Zn 2.85-2.94, 3 Mg 2.90-2.98
Sm 0.0000 0.9992 0.4650  4 Zn 3.18-3.49, 5 Sn 3.21-3.25, 1 Mg 3.51
Sn 0.0000 0.2417 0.8349  2 Zn 2.76, 2 Mg 2.85-2.94
Mg 0.0000 0.8398 0.8470  4 Sn 2.85-2.94
Mg 0.0000 0.3398 0.1530  4 Sn 2.85-2.94
Mg 0.5000 0.0107 0.0876  3 Sn 2.98-3.10, 1 Zn 3.23


(4)
SmMg2Zn2Sn2 after structural relaxation. Source: the Alexandria database, functional GGA-PBE.

Properties
Electronic total energy (eV/atom): -2.889
Mass density (g/cm3): 6.0
Spin magnetization (μB per formula unit): 0.00
DFT formation energy (eV/atom): -0.252

a = 4.7555 Å, b = 4.7555 Å, c = 8.4924 Å
α = 73.74°, β = 73.74°, γ = 60.00°
Last column: nearest neighbours and their distance in Å.
Atoms (fractional coordinates):
Sn 0.2594 0.2594 0.2218  3 Zn 2.88, 4 Mg 2.94-3.14
Zn 0.4437 0.4437 0.6690  1 Zn 2.72, 3 Mg 2.82, 3 Sn 2.88
Mg 0.1373 0.1373 0.5882  3 Zn 2.82, 4 Sn 2.94-3.14, 3 Mg 3.09
Sm 0.0000 0.0000 0.0000  6 Sn 3.27, 2 Mg 3.31
Sn 0.7406 0.7406 0.7782  3 Zn 2.88, 4 Mg 2.94-3.14
Mg 0.8627 0.8627 0.4118  3 Zn 2.82, 4 Sn 2.94-3.14, 3 Mg 3.09
Zn 0.5563 0.5563 0.3310  1 Zn 2.72, 3 Mg 2.82, 3 Sn 2.88


(5)
SrSm5Mg6 after structural relaxation. Source: the Alexandria database, functional GGA-PBE.

Properties
Electronic total energy (eV/atom): -2.975
Mass density (g/cm3): 4.6
Spin magnetization (μB per formula unit): 0.00
DFT formation energy (eV/atom): -0.072

a = 5.5032 Å, b = 7.8134 Å, c = 9.5358 Å
α = 114.20°, β = 106.71°, γ = 90.01°
Last column: nearest neighbours and their distance in Å.
Atoms (fractional coordinates):
Mg 0.1705 0.4269 0.3405  7 Sm 3.31-3.41, 1 Sr 3.45
Mg 0.8295 0.5731 0.6595  7 Sm 3.31-3.41, 1 Sr 3.45
Mg 0.8296 0.0865 0.6595  7 Sm 3.31-3.41, 1 Sr 3.45
Sm 0.0000 0.5000 0.0000  8 Mg 3.31-3.39
Sm 0.3314 0.3314 0.6628  8 Mg 3.33-3.35
Sr 0.0000 0.0000 0.0000  8 Mg 3.45
Sm 0.6686 0.6686 0.3372  8 Mg 3.33-3.35
Mg 0.4998 0.7345 0.9999  6 Sm 3.31-3.43, 2 Sr 3.45, 1 Mg 3.67
Sm 0.6657 0.1656 0.3313  8 Mg 3.31-3.43
Mg 0.5002 0.2655 0.0001  6 Sm 3.31-3.43, 2 Sr 3.45, 1 Mg 3.67
Sm 0.3343 0.8344 0.6687  8 Mg 3.31-3.43
Mg 0.1704 0.9135 0.3405  7 Sm 3.31-3.41, 1 Sr 3.45


(6)
SrSm2Mg after structural relaxation. Source: the Alexandria database, functional GGA-PBE.

Properties
Offset from the most stable computed form (kJ/mol of formula units): 0
Electronic total energy (eV/atom): -3.129
Mass density (g/cm3): 4.8
Spin magnetization (μB per formula unit): 0.00
DFT formation energy (eV/atom): 0.049

a = 3.9000 Å, b = 3.9000 Å, c = 9.3498 Å
α = 90.00°, β = 90.00°, γ = 90.00°
Last column: nearest neighbours and their distance in Å.
Atoms (fractional coordinates):
Mg 0.5000 0.5000 0.0000  8 Sm 3.29
Sr 0.5000 0.5000 0.5000  4 Sr 3.90, 8 Sm 3.98
Sm 0.0000 0.0000 0.1925  4 Mg 3.29, 1 Sm 3.60
Sm 0.0000 0.0000 0.8075  4 Mg 3.29, 1 Sm 3.60